No. 1
Ce2Fe3Rh: single point on PBEsol structure, meta-GGA SCAN.

abc: 4.9123 4.9123 13.1954
angles: 90.00 90.00 120.00
Space group R-3m (No. 166, hexagonal axes)
Symmetry-distinct sites (fractional):
Ce 0.0000 0.0000 0.1231 (multiplicity 6)
Fe 0.0000 0.5000 0.0000 (multiplicity 9)
Rh 0.0000 0.0000 0.5000 (multiplicity 3)

Output
Formation energy ... -219 meV per atom
Volume ... 15.32 Å³ per atom
Electronic total energy ... -29.7667 eV/atom
DOS at the Fermi energy ... 1.3084 states/eV/atom

No. 2
Re2RhSe: single point on PBEsol structure, meta-GGA SCAN.

abc: 4.4352 4.4352 2.9129
angles: 90.00 90.00 90.00
Space group P4/mmm (No. 123)
Symmetry-distinct sites (fractional):
Re 0.0000 0.5000 0.0000 (multiplicity 2)
Rh 0.0000 0.0000 0.5000 (multiplicity 1)
Se 0.5000 0.5000 0.5000 (multiplicity 1)

Output
Volume ... 14.32 Å³ per atom
Electronic total energy ... -48.4470 eV/atom
Formation energy from raw total energies ... 564 meV/atom
DOS at the Fermi energy ... 0.6132 states/eV/atom

No. 3
MnAgHg2: single point on PBEsol structure, meta-GGA SCAN.

abc: 3.3039 3.4294 6.4387
angles: 90.00 90.00 90.00
Space group Pmm2 (No. 25)
Symmetry-distinct sites (fractional):
Mn 0.0000 0.0000 0.0000 (multiplicity 1)
Ag 0.5000 0.5000 0.2189 (multiplicity 1)
Hg 0.0000 0.0000 0.4713 (multiplicity 1)
Hg 0.5000 0.5000 0.7667 (multiplicity 1)

Output
Formation energy ... 29 meV per atom
Volume ... 18.24 Å³ per atom
Electronic total energy ... -46.4595 eV/atom
DOS at the Fermi energy ... 0.2812 states/eV/atom

No. 4
CsSr3Pd: single point on PBEsol structure, meta-GGA SCAN.

abc: 4.4926 6.0160 9.2746
angles: 90.00 90.00 90.00
Space group Pmmm (No. 47)
Symmetry-distinct sites (fractional):
Cs 0.0000 0.0000 0.0000 (multiplicity 1)
Sr 0.0000 0.0000 0.5000 (multiplicity 1)
Sr 0.5000 0.5000 0.2880 (multiplicity 2)
Pd 0.0000 0.5000 0.5000 (multiplicity 1)

Output
Formation energy ... -252 meV per atom
Volume ... 50.13 Å³ per atom
Electronic total energy ... -27.7346 eV/atom
DOS at the Fermi energy ... 0.6558 states/eV/atom

No. 5
YMo2Pt: single point on PBEsol structure, meta-GGA SCAN.

abc: 10.2043 3.1593 4.6962
angles: 90.00 105.51 90.00
Space group C2/m (No. 12)
Symmetry-distinct sites (fractional):
Y 0.0000 0.0000 0.0000 (multiplicity 2)
Mo 0.2316 0.0000 0.6892 (multiplicity 4)
Pt 0.0000 0.5000 0.5000 (multiplicity 2)

Output
Formation energy ... -43 meV per atom
Polymorph energy (0 for the lowest one) ... 41 meV/atom
Volume ... 18.24 Å³ per atom
Electronic total energy ... -41.9944 eV/atom
DOS at the Fermi energy ... 1.0260 states/eV/atom

No. 6
CaLaPb2: single point on PBEsol structure, meta-GGA SCAN.

abc: 3.6624 3.6624 31.4271
angles: 90.00 90.00 120.00
Space group R-3m (No. 166, hexagonal axes)
Symmetry-distinct sites (fractional):
Ca 0.0000 0.0000 0.0000 (multiplicity 3)
La 0.0000 0.0000 0.5000 (multiplicity 3)
Pb 0.0000 0.0000 0.2528 (multiplicity 6)

Output
Formation energy ... -536 meV per atom
Volume ... 30.42 Å³ per atom
Electronic total energy ... -51.6184 eV/atom
DOS at the Fermi energy ... 0.6319 states/eV/atom

No. 7
BPt: single point on PBEsol structure, meta-GGA SCAN.

abc: 3.7943 3.7943 7.5360
angles: 90.00 90.00 90.00
Space group I4/mmm (No. 139)
Symmetry-distinct sites (fractional):
B 0.0000 0.0000 0.1131 (multiplicity 4)
Pt 0.0000 0.5000 0.2500 (multiplicity 4)

Output
Formation energy ... -314 meV per atom
Volume ... 13.56 Å³ per atom
Electronic total energy ... -39.1256 eV/atom
DOS at the Fermi energy ... 0.0693 states/eV/atom

No. 8
BaIn2SiMo: single point on PBEsol structure, meta-GGA SCAN.

abc: 5.2581 5.2581 4.8344
angles: 90.00 90.00 90.00
Space group P4/mmm (No. 123)
Symmetry-distinct sites (fractional):
Ba 0.0000 0.0000 0.0000 (multiplicity 1)
In 0.0000 0.5000 0.5000 (multiplicity 2)
Si 0.5000 0.5000 0.5000 (multiplicity 1)
Mo 0.5000 0.5000 0.0000 (multiplicity 1)

Output
Volume ... 26.73 Å³ per atom
Electronic total energy ... -29.8003 eV/atom
Formation energy from raw total energies ... 445 meV/atom
DOS at the Fermi energy ... 0.6635 states/eV/atom

No. 9
LiTlW2: single point on PBEsol structure, meta-GGA SCAN.

abc: 3.0846 4.6117 9.7135
angles: 90.00 90.00 90.00
Space group Cmmm (No. 65)
Symmetry-distinct sites (fractional):
Li 0.0000 0.0000 0.0000 (multiplicity 2)
Tl 0.0000 0.0000 0.5000 (multiplicity 2)
W 0.0000 0.5000 0.2454 (multiplicity 4)

Output
Formation energy ... 994 meV per atom
Polymorph energy (0 for the lowest one) ... 338 meV/atom
Volume ... 17.27 Å³ per atom
Electronic total energy ... -52.5374 eV/atom
DOS at the Fermi energy ... 0.5422 states/eV/atom

No. 10
LiP4Ir: single point on PBEsol structure, meta-GGA SCAN.

abc: 6.9327 6.9327 6.9327
angles: 90.00 90.00 90.00
Space group F-43m (No. 216)
Symmetry-distinct sites (fractional):
Li 0.0000 0.0000 0.0000 (multiplicity 4)
P 0.1274 0.1274 0.3726 (multiplicity 16)
Ir 0.2500 0.2500 0.7500 (multiplicity 4)

Output
Formation energy ... 697 meV per atom
Volume ... 13.88 Å³ per atom
Electronic total energy ... -18.4837 eV/atom
DOS at the Fermi energy ... 0.4212 states/eV/atom

No. 11
AgTeBr2: single point on PBEsol structure, meta-GGA SCAN.

abc: 5.6813 5.6813 6.6727
angles: 90.00 90.00 90.00
Space group I4/mmm (No. 139)
Symmetry-distinct sites (fractional):
Ag 0.0000 0.0000 0.0000 (multiplicity 2)
Te 0.0000 0.0000 0.5000 (multiplicity 2)
Br 0.0000 0.5000 0.0000 (multiplicity 4)

Output
Polymorph energy (0 for the lowest one) ... 0 meV/atom
Volume ... 26.92 Å³ per atom
Electronic total energy ... -26.9447 eV/atom
Formation energy from raw total energies ... -60 meV/atom
DOS at the Fermi energy ... 0.1810 states/eV/atom

No. 12
Y5Tl3: single point on PBEsol structure, meta-GGA SCAN.

abc: 8.9078 8.9078 6.5282
angles: 90.00 90.00 120.00
Space group P6_3/mcm (No. 193)
Symmetry-distinct sites (fractional):
Y 0.0000 0.2364 0.2500 (multiplicity 6)
Y 0.3333 0.6667 0.0000 (multiplicity 4)
Tl 0.0000 0.4020 0.7500 (multiplicity 6)

Output
Formation energy ... -606 meV per atom
Polymorph energy (0 for the lowest one) ... 0 meV/atom
Volume ... 28.04 Å³ per atom
Electronic total energy ... -45.1419 eV/atom
DOS at the Fermi energy ... 1.3386 states/eV/atom

Please write out number 2 again, unchanged.
Re2RhSe: single point on PBEsol structure, meta-GGA SCAN.

abc: 4.4352 4.4352 2.9129
angles: 90.00 90.00 90.00
Space group P4/mmm (No. 123)
Symmetry-distinct sites (fractional):
Re 0.0000 0.5000 0.0000 (multiplicity 2)
Rh 0.0000 0.0000 0.5000 (multiplicity 1)
Se 0.5000 0.5000 0.5000 (multiplicity 1)

Output
Volume ... 14.32 Å³ per atom
Electronic total energy ... -48.4470 eV/atom
Formation energy from raw total energies ... 564 meV/atom
DOS at the Fermi energy ... 0.6132 states/eV/atom

Look up the volume of the seventh one. 13.56 Å³ per atom